# 1
First-principles (SCAN) data for a crystal of Tl2AgHg relaxed with PBEsol, as listed in Alexandria via LeMat-Bulk.

The structure belongs to space group R-3m (No. 166, hexagonal axes); the cell edges are 3.3921, 3.3921 and 28.6335 Å and the angles 90.00°, 90.00° and 120.00°. Symmetry generates all atoms from Tl at (0.0000, 0.0000, 0.2447), Ag at (0.0000, 0.0000, 0.5000) and Hg at (0.0000, 0.0000, 0.0000).

For the total energy, the calculation gives -60.95 eV/atom. For the energy above the most stable polymorph in this dataset, the calculation gives 0.035 eV/atom. As for the density: 12.522 g cm⁻³. The value obtained for the energy of formation is 0.1125 eV per atom. The calculation puts the density of states at the Fermi level at 4.020 states/eV/cell.

# 2
First-principles (SCAN) data for a crystal of CdCu2Au relaxed with PBEsol, as listed in Alexandria via LeMat-Bulk.

The structure belongs to space group I4/mmm (No. 139); the cell edges are 4.082, 4.082 and 7.060 Å and the angles 90.00°, 90.00° and 90.00°. Symmetry generates all atoms from Cd at (0.000, 0.000, 0.000), Cu at (0.000, 0.500, 0.250) and Au at (0.000, 0.000, 0.500).

For the total energy, the calculation gives -32.56 eV/atom. As for the density: 12.323 g cm⁻³. The value obtained for the energy of formation is -0.0628 eV per atom. The calculation puts the density of states at the Fermi level at 2.281 states/eV/cell.

# 3
First-principles (SCAN) data for a crystal of Zn2CdPdI relaxed with PBEsol, as listed in Alexandria via LeMat-Bulk.

The structure belongs to space group P4/mmm (No. 123); the cell edges are 4.811, 4.811 and 5.262 Å and the angles 90.00°, 90.00° and 90.00°. Symmetry generates all atoms from Zn at (0.000, 0.500, 0.000), Cd at (0.000, 0.000, 0.500), Pd at (0.000, 0.000, 0.000) and I at (0.500, 0.500, 0.500).

For the total energy, the calculation gives -25.39 eV/atom. As for the density: 6.498 g cm⁻³. The calculation puts the density of states at the Fermi level at 1.185 states/eV/cell.

What did the first record say?
First-principles (SCAN) data for a crystal of Tl2AgHg relaxed with PBEsol, as listed in Alexandria via LeMat-Bulk.

The structure belongs to space group R-3m (No. 166, hexagonal axes); the cell edges are 3.3921, 3.3921 and 28.6335 Å and the angles 90.00°, 90.00° and 120.00°. Symmetry generates all atoms from Tl at (0.0000, 0.0000, 0.2447), Ag at (0.0000, 0.0000, 0.5000) and Hg at (0.0000, 0.0000, 0.0000).

For the total energy, the calculation gives -60.95 eV/atom. For the energy above the most stable polymorph in this dataset, the calculation gives 0.035 eV/atom. As for the density: 12.522 g cm⁻³. The value obtained for the energy of formation is 0.1125 eV per atom. The calculation puts the density of states at the Fermi level at 4.020 states/eV/cell.